# 1
PmTmLuIn: optimized geometry, PBE.

Unit cell a=5.436 b=5.436 c=5.436 alpha=60.00 beta=60.00 gamma=60.00
Fractional positions:
Pm  0.500  0.500  0.500
Lu  0.750  0.750  0.750
Tm  0.000  0.000  0.000
In  0.250  0.250  0.250

Fermi-level density of states in states/eV/cell: 6.32
Final energy in eV for the cell shown: -17.0
Formation energy from the elements in kJ per mole of atoms: -13.7
M_tot in μB/cell: 0.11
Space group: F-43m, No. 216

=====

# 2
LaYBr2: optimized geometry, PBE.

Unit cell a=6.110 b=6.110 c=5.082 alpha=82.29 beta=82.29 gamma=34.73
Fractional positions:
Y  0.767  0.767  0.842
Br  0.021  0.021  0.897
Br  0.226  0.226  0.350
La  0.486  0.486  0.410

Fermi-level density of states in states/eV/cell: 2.49
Final energy in eV for the cell shown: -18.8
M_tot in μB/cell: 0.00
Energy relative to the elements, uncorrected in eV per atom: -1.010
Space group: Cm, No. 8

=====

# 3
Er8Sb2Te3: optimized geometry, PBE.

Unit cell a=6.884 b=8.387 c=8.174 alpha=120.86 beta=91.66 gamma=90.00
Fractional positions:
Er  0.882  0.614  0.227
Er  0.118  0.386  0.773
Er  0.837  0.163  0.326
Er  0.163  0.837  0.674
Er  0.646  0.590  0.758
Er  0.646  0.168  0.758
Er  0.354  0.832  0.242
Er  0.354  0.410  0.242
Sb  0.420  0.245  0.489
Sb  0.580  0.755  0.511
Te  0.500  0.000  0.000
Te  0.000  0.213  0.000
Te  0.000  0.787  0.000

Fermi-level density of states in states/eV/cell: 8.70
Final energy in eV for the cell shown: -63.0
M_tot in μB/cell: 0.00
Energy relative to the elements, uncorrected in eV per atom: -0.680
Space group: C2/m, No. 12

=====

# 4
CeTm2Pb: optimized geometry, PBE.

Unit cell a=3.376 b=3.376 c=12.025 alpha=81.93 beta=81.93 gamma=60.00
Site moments in Bohr magnetons follow the coordinates.
Fractional positions:
Pb  0.500  0.500  0.500  0.00
Tm  0.092  0.092  0.725  -0.01
Tm  0.908  0.908  0.275  -0.01
Ce  0.000  0.000  0.000  0.46

Fermi-level density of states in states/eV/cell: 7.65
Final energy in eV for the cell shown: -18.2
Formation energy from the elements in kJ per mole of atoms: 9.2
M_tot in μB/cell: 0.53
Space group: R-3m, No. 166